Material: Gd3Ag
Method: DFT, PBE-GGA
State: optimized geometry

V: 28.24 A^3/atom
Fermi-level density of states: 12.582 states/eV/cell
SG: I4/mmm
relative energy among the computed polymorphs: 112.9 meV per atom
DFT formation energy: 0.0091 eV per atom

a b c (Å): 4.664 4.664 10.385
angles (deg): 90.00 90.00 90.00
Fractional positions:
Gd 0.000 0.000 0.000
Gd 0.000 0.500 0.250
Gd 0.000 0.500 0.750
Gd 0.500 0.000 0.250
Gd 0.500 0.000 0.750
Gd 0.500 0.500 0.500
Ag 0.000 0.000 0.500
Ag 0.500 0.500 0.000

=====

Material: Gd3Ag
Method: DFT, PBE-GGA
State: optimized geometry

V: 28.77 A^3/atom
Fermi-level density of states: 11.672 states/eV/cell
SG: Imm2
relative energy among the computed polymorphs: 0.0 meV per atom
DFT formation energy: -0.1038 eV per atom

a b c (Å): 3.733 11.332 5.441
angles (deg): 90.00 90.00 90.00
Fractional positions:
Gd 0.000 0.000 0.000
Gd 0.000 0.217 0.499
Gd 0.000 0.783 0.499
Gd 0.500 0.283 0.999
Gd 0.500 0.500 0.500
Gd 0.500 0.717 0.999
Ag 0.000 0.500 0.001
Ag 0.500 0.000 0.501

=====

Material: Gd3Ag
Method: DFT, PBE-GGA
State: optimized geometry

V: 28.06 A^3/atom
Fermi-level density of states: 4.743 states/eV/cell
SG: Pm-3m
relative energy among the computed polymorphs: 68.8 meV per atom
DFT formation energy: -0.0351 eV per atom

a b c (Å): 4.824 4.824 4.824
angles (deg): 90.00 90.00 90.00
Fractional positions:
Gd 0.000 0.000 0.500
Gd 0.000 0.500 0.000
Gd 0.500 0.000 0.000
Ag 0.500 0.500 0.500

=====

Material: Gd3Ag
Method: DFT, PBE-GGA
State: optimized geometry

V: 28.08 A^3/atom
Fermi-level density of states: 11.987 states/eV/cell
SG: P6_3/mmc
relative energy among the computed polymorphs: 80.4 meV per atom
DFT formation energy: -0.0234 eV per atom

a b c (Å): 6.860 6.860 5.511
angles (deg): 90.00 90.00 120.00
Fractional positions:
Gd 0.172 0.344 0.250
Gd 0.172 0.828 0.250
Gd 0.344 0.172 0.750
Gd 0.656 0.828 0.250
Gd 0.828 0.172 0.750
Gd 0.828 0.656 0.750
Ag 0.333 0.667 0.750
Ag 0.667 0.333 0.250

=====

Material: Gd3Ag
Method: DFT, PBE-GGA
State: optimized geometry

V: 28.20 A^3/atom
Fermi-level density of states: 18.993 states/eV/cell
SG: Fm-3m
relative energy among the computed polymorphs: 164.0 meV per atom
DFT formation energy: 0.0601 eV per atom

a b c (Å): 7.670 7.670 7.670
angles (deg): 90.00 90.00 90.00
Fractional positions:
Gd 0.000 0.000 0.000
Gd 0.000 0.500 0.500
Gd 0.250 0.250 0.250
Gd 0.250 0.250 0.750
Gd 0.250 0.750 0.250
Gd 0.250 0.750 0.750
Gd 0.500 0.000 0.500
Gd 0.500 0.500 0.000
Gd 0.750 0.250 0.250
Gd 0.750 0.250 0.750
Gd 0.750 0.750 0.250
Gd 0.750 0.750 0.750
Ag 0.000 0.000 0.500
Ag 0.000 0.500 0.000
Ag 0.500 0.000 0.000
Ag 0.500 0.500 0.500

=====

Material: GdAg5
Method: DFT, PBE-GGA
State: optimized geometry

V: 20.20 A^3/atom
Fermi-level density of states: 8.385 states/eV/cell
SG: Cmmm
DFT formation energy: -0.0621 eV per atom

a b c (Å): 4.486 12.952 4.172
angles (deg): 90.00 90.00 90.00
Fractional positions:
Gd 0.000 0.000 0.000
Gd 0.500 0.500 0.000
Ag 0.000 0.175 0.500
Ag 0.000 0.330 0.000
Ag 0.000 0.500 0.500
Ag 0.000 0.670 0.000
Ag 0.000 0.825 0.500
Ag 0.500 0.000 0.500
Ag 0.500 0.170 0.000
Ag 0.500 0.325 0.500
Ag 0.500 0.675 0.500
Ag 0.500 0.830 0.000

=====

Material: Gd2AgGe
Method: DFT, PBE-GGA
State: optimized geometry

V: 27.44 A^3/atom
Fermi-level density of states: 11.299 states/eV/cell
SG: R-3m
relative energy among the computed polymorphs: 131.5 meV per atom
DFT formation energy: -0.4339 eV per atom

a b c (Å): 4.288 4.288 20.675
angles (deg): 90.00 90.00 120.00
Fractional positions:
Gd 0.000 0.000 0.241
Gd 0.000 0.000 0.759
Gd 0.333 0.667 0.426
Gd 0.333 0.667 0.908
Gd 0.667 0.333 0.092
Gd 0.667 0.333 0.574
Ag 0.000 0.000 0.000
Ag 0.333 0.667 0.667
Ag 0.667 0.333 0.333
Ge 0.000 0.000 0.500
Ge 0.333 0.667 0.167
Ge 0.667 0.333 0.833

=====

Material: GdAgGe
Method: DFT, PBE-GGA
State: optimized geometry

V: 21.31 A^3/atom
Fermi-level density of states: 4.025 states/eV/cell
SG: P-62m
DFT formation energy: -0.6472 eV per atom

a b c (Å): 7.202 7.202 4.271
angles (deg): 90.00 90.00 120.00
Fractional positions:
Gd 0.000 0.417 0.000
Gd 0.417 0.000 0.000
Gd 0.583 0.583 0.000
Ag 0.000 0.750 0.500
Ag 0.250 0.250 0.500
Ag 0.750 0.000 0.500
Ge 0.000 0.000 0.000
Ge 0.333 0.667 0.500
Ge 0.667 0.333 0.500

=====

Material: GdAgGe
Method: DFT, PBE-GGA
State: optimized geometry

V: 23.00 A^3/atom
Fermi-level density of states: 5.616 states/eV/cell
SG: I4mm
DFT formation energy: -0.2226 eV per atom

a b c (Å): 3.973 3.973 8.742
angles (deg): 90.00 90.00 90.00
Fractional positions:
Gd 0.000 0.000 0.000
Gd 0.500 0.500 0.500
Ag 0.000 0.000 0.662
Ag 0.500 0.500 0.162
Ge 0.000 0.000 0.338
Ge 0.500 0.500 0.838

=====

Material: GdAgGe2
Method: DFT, PBE-GGA
State: optimized geometry

V: 21.02 A^3/atom
Fermi-level density of states: 4.927 states/eV/cell
SG: R-3m
DFT formation energy: -0.3387 eV per atom

a b c (Å): 4.364 4.364 15.297
angles (deg): 90.00 90.00 120.00
Fractional positions:
Gd 0.000 0.000 0.000
Gd 0.333 0.667 0.667
Gd 0.667 0.333 0.333
Ag 0.000 0.000 0.500
Ag 0.333 0.667 0.167
Ag 0.667 0.333 0.833
Ge 0.000 0.000 0.230
Ge 0.000 0.000 0.770
Ge 0.333 0.667 0.437
Ge 0.333 0.667 0.897
Ge 0.667 0.333 0.103
Ge 0.667 0.333 0.563

=====

Material: GdAgGe
Method: DFT, PBE-GGA
State: optimized geometry

V: 24.12 A^3/atom
Fermi-level density of states: 0.198 states/eV/cell
SG: F-43m
DFT formation energy: -0.4881 eV per atom

a b c (Å): 6.615 6.615 6.615
angles (deg): 90.00 90.00 90.00
Fractional positions:
Gd 0.000 0.000 0.000
Gd 0.000 0.500 0.500
Gd 0.500 0.000 0.500
Gd 0.500 0.500 0.000
Ag 0.000 0.000 0.500
Ag 0.000 0.500 0.000
Ag 0.500 0.000 0.000
Ag 0.500 0.500 0.500
Ge 0.250 0.250 0.250
Ge 0.250 0.750 0.750
Ge 0.750 0.250 0.750
Ge 0.750 0.750 0.250

=====

Material: GdAgGe2
Method: DFT, PBE-GGA
State: optimized geometry

V: 20.43 A^3/atom
Fermi-level density of states: 1.186 states/eV/cell
SG: P4/mmm
DFT formation energy: -0.3963 eV per atom

a b c (Å): 4.431 4.431 4.162
angles (deg): 90.00 90.00 90.00
Fractional positions:
Gd 0.000 0.000 0.000
Ag 0.500 0.500 0.000
Ge 0.000 0.500 0.500
Ge 0.500 0.000 0.500

=====

Material: Gd2AgGe
Method: DFT, PBE-GGA
State: optimized geometry

V: 23.79 A^3/atom
Fermi-level density of states: 11.305 states/eV/cell
SG: Fm-3m
relative energy among the computed polymorphs: 0.0 meV per atom
DFT formation energy: -0.5653 eV per atom

a b c (Å): 7.247 7.247 7.247
angles (deg): 90.00 90.00 90.00
Fractional positions:
Gd 0.250 0.250 0.250
Gd 0.250 0.250 0.750
Gd 0.250 0.750 0.250
Gd 0.250 0.750 0.750
Gd 0.750 0.250 0.250
Gd 0.750 0.250 0.750
Gd 0.750 0.750 0.250
Gd 0.750 0.750 0.750
Ag 0.000 0.000 0.000
Ag 0.000 0.500 0.500
Ag 0.500 0.000 0.500
Ag 0.500 0.500 0.000
Ge 0.000 0.000 0.500
Ge 0.000 0.500 0.000
Ge 0.500 0.000 0.000
Ge 0.500 0.500 0.500

=====

Material: Gd2AgGe
Method: DFT, PBE-GGA
State: optimized geometry

V: 24.00 A^3/atom
Fermi-level density of states: 3.169 states/eV/cell
SG: P4/mmm
relative energy among the computed polymorphs: 27.0 meV per atom
DFT formation energy: -0.5383 eV per atom

a b c (Å): 5.040 5.040 3.780
angles (deg): 90.00 90.00 90.00
Fractional positions:
Gd 0.000 0.500 0.000
Gd 0.500 0.000 0.000
Ag 0.000 0.000 0.500
Ge 0.500 0.500 0.500

=====

Material: GdAgGe
Method: DFT, PBE-GGA
State: optimized geometry

V: 21.85 A^3/atom
Fermi-level density of states: 1.648 states/eV/cell
SG: P3m1
DFT formation energy: -0.5410 eV per atom

a b c (Å): 4.514 4.514 3.714
angles (deg): 90.00 90.00 120.00
Fractional positions:
Gd 0.000 0.000 0.000
Ag 0.333 0.667 0.500
Ge 0.667 0.333 0.498